DFT (GGA-PBE) results for SrZr2Co after structural relaxation.

* ρ: 6.0 g/cm³
* polymorph energy (0 for the lowest one): 560 meV/atom
* calculated volume: 91.36 Å³/f.u.

Lattice parameters (Å, degrees): 5.0541 5.0541 5.0541 119.95 119.95 90.09
Closest atoms and distances in Å follow each position.
Fractional positions:
Zr 0.2500 0.7500 0.5000  4 Zr 3.10, 4 Co 3.10
Zr 0.0000 0.0000 0.0000  4 Zr 3.10, 4 Sr 3.10
Sr 0.7500 0.2500 0.5000  4 Zr 3.10, 4 Co 3.10
Co 0.5000 0.5000 0.0000  4 Sr 3.10, 4 Zr 3.10

***

DFT (GGA-PBE) results for SrZr3Co after structural relaxation.

* ρ: 5.5 g/cm³
* polymorph energy (0 for the lowest one): 2047 meV/atom
* calculated volume: 127.69 Å³/f.u.

Lattice parameters (Å, degrees): 5.0356 5.0356 5.0356 90.00 90.00 90.00
Closest atoms and distances in Å follow each position.
Fractional positions:
Sr 0.0000 0.0000 0.0000  6 Zr 2.52
Zr 0.5000 0.0000 0.0000  2 Sr 2.52
Zr 0.0000 0.0000 0.5000  2 Sr 2.52
Zr 0.0000 0.5000 0.0000  2 Sr 2.52
Co 0.5000 0.5000 0.5000  12 Zr 3.56

***

DFT (GGA-PBE) results for SrZr2Co2 after structural relaxation.

* ρ: 6.1 g/cm³
* polymorph energy (0 for the lowest one): 0 meV/atom
* calculated volume: 105.76 Å³/f.u.

Lattice parameters (Å, degrees): 4.4488 4.4488 6.2008 68.98 68.98 90.00
Closest atoms and distances in Å follow each position.
Fractional positions:
Zr 0.7500 0.2500 0.5000  4 Co 2.66
Zr 0.2500 0.7500 0.5000  4 Co 2.66
Sr 0.0000 0.0000 0.0000  8 Co 3.37, 8 Zr 3.48
Co 0.3861 0.3861 0.2278  1 Co 2.43, 4 Zr 2.66
Co 0.6139 0.6139 0.7722  1 Co 2.43, 4 Zr 2.66

***

DFT (GGA-PBE) results for SrZrCo3 after structural relaxation.

* ρ: 6.0 g/cm³
* polymorph energy (0 for the lowest one): 954 meV/atom
* calculated volume: 98.98 Å³/f.u.

Lattice parameters (Å, degrees): 4.6258 4.6258 4.6258 90.00 90.00 90.00
Closest atoms and distances in Å follow each position.
Fractional positions:
Co 0.5000 0.0000 0.0000  2 Sr 2.31
Co 0.0000 0.0000 0.5000  2 Sr 2.31
Co 0.0000 0.5000 0.0000  2 Sr 2.31
Sr 0.0000 0.0000 0.0000  6 Co 2.31
Zr 0.5000 0.5000 0.5000  12 Co 3.27

***

DFT (GGA-PBE) results for SrZrCo after structural relaxation.

* ρ: 5.4 g/cm³
* polymorph energy (0 for the lowest one): 0 meV/atom
* calculated volume: 73.00 Å³/f.u.

Lattice parameters (Å, degrees): 6.8198 6.8197 3.3808 75.65 75.65 28.70
Closest atoms and distances in Å follow each position.
Fractional positions:
Zr 0.6157 0.6157 0.3843  4 Co 2.62
Sr 0.3527 0.3527 0.6473  4 Co 3.31, 1 Zr 3.36, 4 Sr 3.38
Co 0.0316 0.0316 0.9684  4 Zr 2.62

***

DFT (GGA-PBE) results for SrZr2Co after structural relaxation.

* ρ: 5.6 g/cm³
* polymorph energy (0 for the lowest one): 67 meV/atom
* calculated volume: 97.15 Å³/f.u.

Lattice parameters (Å, degrees): 3.2802 3.2802 9.0292 90.00 90.00 90.00
Closest atoms and distances in Å follow each position.
Fractional positions:
Sr 0.5000 0.5000 0.7500  4 Sr 3.28
Co 0.5000 0.5000 0.2500  8 Zr 2.74
Zr 0.0000 0.0000 0.0879  4 Co 2.74, 1 Zr 2.93
Zr 0.0000 0.0000 0.4121  4 Co 2.74, 1 Zr 2.93

***

DFT (GGA-PBE) results for SrZr2Co after structural relaxation.

* ρ: 5.7 g/cm³
* polymorph energy (0 for the lowest one): 185 meV/atom
* calculated volume: 95.80 Å³/f.u.

Lattice parameters (Å, degrees): 6.3719 6.3719 6.3719 148.70 134.13 56.59
Closest atoms and distances in Å follow each position.
Fractional positions:
Sr 0.2984 0.7984 0.5000  2 Co 3.05, 6 Zr 3.33-3.39
Co 0.5232 0.5232 0.0000  2 Zr 2.41
Zr 0.6743 0.1743 0.5000  2 Co 2.41
Zr 0.0041 0.0041 0.0000  4 Co 3.03, 2 Zr 3.13, 2 Sr 3.39

***

DFT (GGA-PBE) results for SrZr2Co2 after structural relaxation.

* ρ: 6.6 g/cm³
* polymorph energy (0 for the lowest one): 165 meV/atom
* calculated volume: 97.46 Å³/f.u.

Lattice parameters (Å, degrees): 7.9986 7.9986 3.0466 90.00 90.00 90.00
Closest atoms and distances in Å follow each position.
Fractional positions:
Co 0.1384 0.6384 0.5000  6 Zr 2.70-2.93
Co 0.3616 0.1384 0.5000  6 Zr 2.70-2.93
Co 0.8616 0.3616 0.5000  6 Zr 2.70-2.93
Co 0.6384 0.8616 0.5000  6 Zr 2.70-2.93
Zr 0.1402 0.3598 0.0000  6 Co 2.70-2.93
Zr 0.8598 0.6402 0.0000  6 Co 2.70-2.93
Zr 0.6402 0.1402 0.0000  6 Co 2.70-2.93
Zr 0.3598 0.8598 0.0000  6 Co 2.70-2.93
Sr 0.0000 0.0000 0.0000  2 Sr 3.05, 4 Zr 3.09
Sr 0.5000 0.5000 0.0000  2 Sr 3.05, 4 Zr 3.09

***

DFT (GGA-PBE) results for SrZr2Co after structural relaxation.

* ρ: 5.8 g/cm³
* polymorph energy (0 for the lowest one): 85 meV/atom
* calculated volume: 94.23 Å³/f.u.

Lattice parameters (Å, degrees): 6.1783 6.1783 6.1783 149.54 127.31 62.09
Closest atoms and distances in Å follow each position.
Fractional positions:
Sr 0.2500 0.7500 0.5000  4 Co 3.19, 2 Sr 3.25, 4 Zr 3.41
Zr 0.5586 0.5586 0.0000  2 Co 2.60
Zr 0.9414 0.9414 0.0000  2 Co 2.60
Co 0.7500 0.2500 0.5000  4 Zr 2.60

***

DFT (GGA-PBE) results for SrZr3Co after structural relaxation.

* ρ: 5.5 g/cm³
* polymorph energy (0 for the lowest one): 0 meV/atom
* calculated volume: 127.39 Å³/f.u.

Lattice parameters (Å, degrees): 5.0317 5.0317 5.0317 90.00 90.00 90.00
Closest atoms and distances in Å follow each position.
Fractional positions:
Zr 0.5000 0.0000 0.0000  2 Co 2.52
Zr 0.0000 0.0000 0.5000  2 Co 2.52
Zr 0.0000 0.5000 0.0000  2 Co 2.52
Sr 0.5000 0.5000 0.5000  12 Zr 3.56
Co 0.0000 0.0000 0.0000  6 Zr 2.52

***

DFT (GGA-PBE) results for SrZr2Co after structural relaxation.

* ρ: 6.0 g/cm³
* polymorph energy (0 for the lowest one): 522 meV/atom
* calculated volume: 91.48 Å³/f.u.

Lattice parameters (Å, degrees): 6.0565 6.0565 6.0565 139.87 139.87 58.06
Closest atoms and distances in Å follow each position.
Fractional positions:
Zr 0.5000 0.5000 0.0000  4 Zr 2.94
Zr 0.0000 0.0000 0.0000  4 Zr 2.94
Sr 0.7500 0.2500 0.5000  4 Co 2.94
Co 0.2500 0.7500 0.5000  4 Sr 2.94

***

DFT (GGA-PBE) results for SrZrCo after structural relaxation.

* ρ: 4.8 g/cm³
* polymorph energy (0 for the lowest one): 113 meV/atom
* calculated volume: 82.04 Å³/f.u.

Lattice parameters (Å, degrees): 3.7762 3.7762 6.6433 90.00 90.00 120.00
Closest atoms and distances in Å follow each position.
Fractional positions:
Zr 0.6667 0.3333 0.7798  3 Co 2.48
Co 0.0000 0.0000 0.9576  3 Zr 2.48
Sr 0.3333 0.6667 0.2626  3 Co 2.98